Entry from Alexandria via LeMat-Bulk: a relaxed structure of Ba2CuAsO (PBE).

As for the formation energy without anion corrections: -1.378 eV/atom. For the magnetization, the calculation gives 0.000 μB per atom.

The structure belongs to space group P2_1/m (No. 11); the cell edges are 7.0309, 4.2442 and 8.9269 Å and the angles 90.00°, 108.10° and 90.00°. The inequivalent atoms are Ba at (0.2051, 0.2500, 0.3867), Ba at (0.2220, 0.2500, 0.9671), Cu at (0.4729, 0.7500, 0.2486), As at (0.3409, 0.7500, 0.7030) and O at (0.1674, 0.7500, 0.1655).

=====

Entry from Alexandria via LeMat-Bulk: a relaxed structure of BaCuAs2O8 (PBE).

As for the formation energy without anion corrections: -1.229 eV/atom. The calculation puts the density of states at the Fermi level at 15.37 states/eV per cell. For the magnetization, the calculation gives 0.081 μB per atom.

The structure belongs to space group R-3 (No. 148, hexagonal axes); the cell edges are 4.9603, 4.9603 and 23.6217 Å and the angles 90.00°, 90.00° and 120.00°. The inequivalent atoms are Ba at (0.0000, 0.0000, 0.0000), Cu at (0.0000, 0.0000, 0.5000), As at (0.0000, 0.0000, 0.2335), O at (0.0000, 0.0000, 0.3061) and O at (0.0024, 0.6846, 0.4506).

=====

Entry from Alexandria via LeMat-Bulk: a relaxed structure of Ba2PaCu2As4 (PBE).

The calculation puts the density of states at the Fermi level at 11.67 states/eV per cell. For the magnetization, the calculation gives 0.000 μB per atom. For the energy of formation, the calculation gives -0.81 eV per atom.

The structure belongs to space group C2/m (No. 12); the cell edges are 15.4384, 4.2421 and 7.5142 Å and the angles 90.00°, 109.72° and 90.00°. The inequivalent atoms are Ba at (0.1393, 0.0000, 0.0932), Pa at (0.0000, 0.0000, 0.5000), Cu at (0.1696, 0.5000, 0.4804), As at (0.0095, 0.5000, 0.2521) and As at (0.1986, 0.0000, 0.6584).